Record 1
Below is a relaxed RbAl3Sn crystal, with properties calculated at the GGA-PBE level.

Properties
- M_tot (μB/cell) = 0.00
- ΔE_f (eV per atom) = 1.58
- ΔE to the lowest computed polymorph (eV per atom) = 0.958
- Fermi-level density of states (states/eV per cell) = 3.78
- SG = Pm-3m, No. 221
- density (Mg/m³) = 2.47
- volume (A^3/atom) = 38.31

Unit cell a=5.765 b=5.765 c=5.765 alpha=90.00 beta=90.00 gamma=90.00
Sites, in units of the cell vectors:
Rb  0.000  0.000  0.000
Al  0.000  0.000  0.500
Al  0.000  0.500  0.000
Al  0.500  0.000  0.000
Sn  0.500  0.500  0.500

Record 2
Below is a relaxed SrLiPm2Tl4 crystal, with properties calculated at the GGA-PBE level.

Properties
- M_tot (μB/cell) = 0.00
- ΔE_f (eV per atom) = -0.33
- Fermi-level density of states (states/eV per cell) = 4.82
- SG = R-3m, No. 166
- density (Mg/m³) = 8.58
- volume (A^3/atom) = 29.09

Unit cell a=9.689 b=9.689 c=9.689 alpha=32.44 beta=32.44 gamma=32.44
Sites, in units of the cell vectors:
Sr  0.000  0.000  0.000
Li  0.500  0.500  0.500
Pm  0.243  0.243  0.243
Pm  0.757  0.757  0.757
Tl  0.127  0.127  0.127
Tl  0.383  0.383  0.383
Tl  0.617  0.617  0.617
Tl  0.873  0.873  0.873

Record 3
Below is a relaxed CrCuPd crystal, with properties calculated at the GGA-PBE level.

Properties
- M_tot (μB/cell) = 0.00
- ΔE_f (eV per atom) = 0.16
- ΔE to the lowest computed polymorph (eV per atom) = 0.000
- Fermi-level density of states (states/eV per cell) = 5.63
- SG = I4mm, No. 107
- density (Mg/m³) = 9.41
- volume (A^3/atom) = 13.05

Unit cell a=2.647 b=2.647 c=11.176 alpha=90.00 beta=90.00 gamma=90.00
Sites, in units of the cell vectors:
Cr  0.000  0.000  0.000
Cr  0.500  0.500  0.500
Cu  0.000  0.000  0.341
Cu  0.500  0.500  0.841
Pd  0.000  0.000  0.666
Pd  0.500  0.500  0.166

Record 4
Below is a relaxed TaRhW2 crystal, with properties calculated at the GGA-PBE level.

Properties
- M_tot (μB/cell) = 0.00
- ΔE_f (eV per atom) = -0.03
- ΔE to the lowest computed polymorph (eV per atom) = 0.070
- Fermi-level density of states (states/eV per cell) = 3.10
- SG = P4mm, No. 99
- density (Mg/m³) = 16.69
- volume (A^3/atom) = 16.21

Unit cell a=2.761 b=2.761 c=8.505 alpha=90.00 beta=90.00 gamma=90.00
Sites, in units of the cell vectors:
Ta  0.000  0.000  0.000
Rh  0.500  0.500  0.756
W  0.000  0.000  0.534
W  0.500  0.500  0.271

Record 5
Below is a relaxed La3PmGa4 crystal, with properties calculated at the GGA-PBE level.

Properties
- M_tot (μB/cell) = 0.00
- ΔE_f (eV per atom) = -0.57
- ΔE to the lowest computed polymorph (eV per atom) = 0.000
- Fermi-level density of states (states/eV per cell) = 4.70
- SG = P4/mmm, No. 123
- density (Mg/m³) = 6.64
- volume (A^3/atom) = 26.29

Unit cell a=3.746 b=3.746 c=14.984 alpha=90.00 beta=90.00 gamma=90.00
Sites, in units of the cell vectors:
La  0.000  0.000  0.000
La  0.000  0.000  0.253
La  0.000  0.000  0.747
Pm  0.000  0.000  0.500
Ga  0.500  0.500  0.126
Ga  0.500  0.500  0.383
Ga  0.500  0.500  0.617
Ga  0.500  0.500  0.874

Record 6
Below is a relaxed Ga2TcAsF crystal, with properties calculated at the GGA-PBE level.

Properties
- M_tot (μB/cell) = 2.11
- Fermi-level density of states (states/eV per cell) = 2.89
- SG = P4/mmm, No. 123
- density (Mg/m³) = 6.49
- raw formation energy (eV/atom) = 0.2577
- volume (A^3/atom) = 16.96

Unit cell a=4.363 b=4.363 c=4.455 alpha=90.00 beta=90.00 gamma=90.00
Sites, in units of the cell vectors:
Ga  0.000  0.500  0.000
Ga  0.500  0.000  0.000
Tc  0.000  0.000  0.500
As  0.500  0.500  0.500
F  0.500  0.500  0.000

Record 7
Below is a relaxed TiCd2AuI crystal, with properties calculated at the GGA-PBE level.

Properties
- M_tot (μB/cell) = 1.77
- Fermi-level density of states (states/eV per cell) = 3.97
- SG = P4/mmm, No. 123
- density (Mg/m³) = 6.03
- raw formation energy (eV/atom) = 0.5480
- volume (A^3/atom) = 32.84

Unit cell a=5.650 b=5.650 c=5.145 alpha=90.00 beta=90.00 gamma=90.00
Sites, in units of the cell vectors:
Ti  0.000  0.000  0.000
Cd  0.000  0.500  0.000
Cd  0.500  0.000  0.000
Au  0.500  0.500  0.500
I  0.000  0.000  0.500

Record 8
Below is a relaxed TbPm5Ga2 crystal, with properties calculated at the GGA-PBE level.

Properties
- M_tot (μB/cell) = 0.00
- ΔE_f (eV per atom) = -0.15
- Fermi-level density of states (states/eV per cell) = 20.28
- SG = Immm, No. 71
- density (Mg/m³) = 7.18
- volume (A^3/atom) = 29.57

Unit cell a=4.342 b=9.863 c=11.050 alpha=90.00 beta=90.00 gamma=90.00
Sites, in units of the cell vectors:
Tb  0.000  0.000  0.000
Tb  0.500  0.500  0.500
Pm  0.000  0.200  0.348
Pm  0.000  0.200  0.652
Pm  0.000  0.500  0.000
Pm  0.000  0.800  0.348
Pm  0.000  0.800  0.652
Pm  0.500  0.000  0.500
Pm  0.500  0.300  0.152
Pm  0.500  0.300  0.848
Pm  0.500  0.700  0.152
Pm  0.500  0.700  0.848
Ga  0.000  0.500  0.287
Ga  0.000  0.500  0.713
Ga  0.500  0.000  0.213
Ga  0.500  0.000  0.787